(1)
A plane-wave DFT calculation with PBE was carried out for a relaxed LuScTlCu crystal.

**Polymorph energy (0 for the lowest one)**: 0 meV/atom
**Energy**: -4.126 eV per atom
**Calculated volume**: 21.6 A^3/atom
**M_tot**: 0.04 μB/f.u.
**SG**: F-43m

The structure in extended XYZ format:
```
4
Lattice="0.0000 3.5080 3.5080 3.5080 0.0000 3.5080 3.5080 3.5080 0.0000" Properties=species:S:1:pos:R:3 pbc="T T T"
Lu 0.0000 0.0000 0.0000
Sc 1.7540 1.7540 1.7540
Tl 3.5080 3.5080 3.5080
Cu 5.2620 5.2620 5.2620
```

(2)
A plane-wave DFT calculation with PBE was carried out for a relaxed ErSb crystal.

**Energy**: -5.052 eV per atom
**Calculated volume**: 27.8 A^3/atom
**M_tot**: 0.01 μB/f.u.
**SG**: Pmma

The structure in extended XYZ format:
```
8
Lattice="6.3778 0.0000 0.0000 0.0000 5.9142 0.0000 0.0000 0.0000 5.8921" Properties=species:S:1:pos:R:3 pbc="T T T"
Er 0.0000 0.0000 0.0000
Er 1.5945 2.9571 1.7714
Er 3.1889 0.0000 0.0000
Er 4.7834 2.9571 4.1208
Sb 1.5945 0.0000 2.8008
Sb 1.5945 2.9571 4.7571
Sb 4.7834 0.0000 3.0913
Sb 4.7834 2.9571 1.1351
```

(3)
A plane-wave DFT calculation with PBE was carried out for a relaxed Tb2HoSe3 crystal.

**Energy**: -5.804 eV per atom
**Calculated volume**: 23.9 A^3/atom
**M_tot**: 0.00 μB/f.u.
**SG**: P-3m1

The structure in extended XYZ format:
```
6
Lattice="4.0630 0.0000 0.0000 -2.0315 3.5187 0.0000 0.0000 0.0000 10.0134" Properties=species:S:1:pos:R:3 pbc="T T T"
Tb 0.0000 2.3458 1.6710
Tb 2.0315 1.1729 8.3425
Ho 0.0000 0.0000 5.0067
Se 0.0000 0.0000 0.0000
Se 0.0000 2.3458 6.6446
Se 2.0315 1.1729 3.3688
```

(4)
A plane-wave DFT calculation with PBE was carried out for a relaxed PaAl crystal.

**Energy**: -6.778 eV per atom
**Calculated volume**: 20.8 A^3/atom
**M_tot**: 0.02 μB/f.u.
**SG**: Pmma

The structure in extended XYZ format:
```
4
Lattice="5.0061 0.0000 0.0000 0.0000 3.0289 0.0000 0.0000 0.0000 5.4997" Properties=species:S:1:pos:R:3 pbc="T T T"
Pa 1.2515 0.0000 0.6994
Pa 3.7546 0.0000 4.8003
Al 1.2515 1.5145 3.4839
Al 3.7546 1.5145 2.0158
```

(5)
A plane-wave DFT calculation with PBE was carried out for a relaxed ZrS2 crystal.

**Energy**: -7.074 eV per atom
**Calculated volume**: 27.2 A^3/atom
**M_tot**: 0.00 μB/f.u.
**SG**: I4/m

The structure in extended XYZ format:
```
12
Lattice="-6.6333 6.6333 1.8512 6.6333 -6.6333 1.8512 6.6333 6.6333 -1.8512" Properties=species:S:1:pos:R:3 pbc="T T T"
Zr 4.3975 2.1413 0.0000
Zr 4.4920 -2.2358 1.8512
Zr 2.1413 8.8691 0.0000
Zr 2.2358 4.4920 1.8512
S 8.8603 0.4948 0.0000
S 8.5978 4.0146 0.0000
S 0.4948 4.4063 0.0000
S 4.0146 4.6687 0.0000
S 2.6187 1.9645 1.8512
S 6.1385 2.2270 1.8512
S -1.9645 2.6187 1.8512
S -2.2270 6.1385 1.8512
```

(6)
A plane-wave DFT calculation with PBE was carried out for a relaxed KHoPd crystal.

**Energy**: -3.555 eV per atom
**Calculated volume**: 29.9 A^3/atom
**M_tot**: 0.00 μB/f.u.
**SG**: F-43m

The structure in extended XYZ format:
```
3
Lattice="0.0000 3.5539 3.5539 3.5539 0.0000 3.5539 3.5539 3.5539 0.0000" Properties=species:S:1:pos:R:3 pbc="T T T"
K 0.0000 0.0000 0.0000
Ho 3.5539 3.5539 3.5539
Pd 5.3309 5.3309 5.3309
```

(7)
A plane-wave DFT calculation with PBE was carried out for a relaxed DyMg crystal.

**Energy**: -3.069 eV per atom
**Calculated volume**: 27.4 A^3/atom
**M_tot**: 0.00 μB/f.u.
**SG**: Pnma

The structure in extended XYZ format:
```
8
Lattice="6.1206 0.0000 0.0000 0.0000 5.3430 0.0000 0.0000 0.0000 6.6936" Properties=species:S:1:pos:R:3 pbc="T T T"
Dy 0.7427 1.3358 0.8674
Dy 2.3176 4.0073 4.2142
Dy 3.8029 1.3358 2.4794
Dy 5.3779 4.0073 5.8262
Mg 0.4930 1.3358 4.1898
Mg 2.5673 4.0073 0.8430
Mg 3.5533 1.3358 5.8506
Mg 5.6275 4.0073 2.5038
```

(8)
A plane-wave DFT calculation with PBE was carried out for a relaxed AgHgNO crystal.

**Polymorph energy (0 for the lowest one)**: 97 meV/atom
**Energy**: -3.221 eV per atom
**Calculated volume**: 15.4 A^3/atom
**SG**: Pca2_1

The structure in extended XYZ format:
```
16
Lattice="5.4425 0.0000 0.0000 0.0000 7.8279 0.0000 0.0000 0.0000 5.7920" Properties=species:S:1:pos:R:3 pbc="T T T"
Ag 0.4286 0.9472 0.0000
Ag 2.2926 0.9472 2.8960
Ag 3.1498 6.8807 0.0000
Ag 5.0139 6.8807 2.8960
Hg 0.6017 4.9737 5.2341
Hg 2.1195 4.9737 2.3380
Hg 3.3230 2.8542 5.2341
Hg 4.8407 2.8542 2.3380
N 0.0168 4.8931 3.1608
N 2.7044 4.8931 0.2648
N 2.7380 2.9348 3.1608
N 5.4257 2.9348 0.2648
O 0.1333 1.0172 3.5708
O 2.5880 1.0172 0.6748
O 2.8545 6.8107 3.5708
O 5.3092 6.8107 0.6748
```

(9)
A plane-wave DFT calculation with PBE was carried out for a relaxed CuH10C10S2N3Cl crystal.

**Energy**: -6.078 eV per atom
**Calculated volume**: 11.8 A^3/atom
**SG**: Pc

The structure in extended XYZ format:
```
54
Lattice="7.3318 0.0000 0.0000 0.0000 12.5264 0.0000 -2.7780 0.0000 6.9521" Properties=species:S:1:pos:R:3 pbc="T T T"
Cu 0.0000 0.5734 0.0000
Cu -1.3890 11.9530 3.4760
H -0.8320 4.6053 3.8323
H 0.5570 7.9211 0.3563
H 0.8795 4.4130 5.6850
H 2.2685 8.1134 2.2090
H 2.1559 4.2142 3.0957
H 0.7669 8.3121 6.5718
H 2.3250 5.9859 2.8938
H 0.9360 6.5404 6.3699
H 2.6589 0.4355 2.7901
H 1.2699 12.0908 6.2662
H 1.5472 2.1309 6.4777
H 2.9362 10.3955 3.0016
H 4.0416 3.8345 1.4565
H 2.6526 8.6919 4.9325
H 3.1900 5.7618 5.7805
H 4.5790 6.7645 2.3045
H 5.7713 5.5856 1.5017
H 4.3823 6.9408 4.9777
H 5.5877 2.4980 2.8260
H 4.1987 10.0283 6.3020
C -1.0174 2.4728 3.6395
C 0.3716 10.0535 0.1635
C -0.4940 3.6390 4.2031
C 0.8950 8.8874 0.7271
C 0.8995 3.2782 0.8663
C -0.4895 9.2481 4.3424
C 0.2496 1.1416 5.0679
C 1.6386 11.3848 1.5918
C 0.4479 3.5264 5.2247
C 1.8368 9.0000 1.7486
C 1.9544 0.2114 1.9832
C 0.5654 12.3149 5.4592
C 0.8247 2.2639 5.6705
C 2.2137 10.2625 2.1945
C 2.4428 5.0132 2.3988
C 1.0538 7.5131 5.8748
C 3.8235 4.8235 1.8711
C 2.4345 7.7029 5.3472
C 4.7694 5.7701 1.8916
C 3.3804 6.7562 5.3677
S 1.1696 4.9858 1.0761
S -0.2194 7.5406 4.5522
S 4.2645 2.8431 6.6499
S 5.6535 9.6832 3.1739
N -0.6535 1.2604 4.0551
N 0.7355 11.2660 0.5791
N 1.3505 1.1565 1.3200
N -0.0385 11.3699 4.7960
N 1.6203 2.4478 1.5980
N 0.2313 10.0786 5.0740
Cl 5.2041 0.1063 1.4298
Cl 3.8151 12.4201 4.9058
```

(10)
A plane-wave DFT calculation with PBE was carried out for a relaxed BePt2 crystal.

**Energy**: -4.875 eV per atom
**Calculated volume**: 16.5 A^3/atom
**M_tot**: 0.00 μB/f.u.
**SG**: Fd-3m

The structure in extended XYZ format:
```
6
Lattice="0.0000 3.6685 3.6685 3.6685 0.0000 3.6685 3.6685 3.6685 0.0000" Properties=species:S:1:pos:R:3 pbc="T T T"
Be 0.9171 0.9171 0.9171
Be 6.4198 6.4198 6.4198
Pt 3.6685 1.8342 1.8342
Pt 1.8342 3.6685 1.8342
Pt 1.8342 1.8342 3.6685
Pt 3.6685 3.6685 3.6685
```

(11)
A plane-wave DFT calculation with PBE was carried out for a relaxed CsPmSO crystal.

**Polymorph energy (0 for the lowest one)**: 59 meV/atom
**Energy**: -5.796 eV per atom
**Calculated volume**: 34.2 A^3/atom
**M_tot**: 0.00 μB/f.u.
**SG**: Pmc2_1

The structure in extended XYZ format:
```
8
Lattice="4.5582 0.0000 0.0000 0.0000 8.6764 0.0000 0.0000 0.0000 6.9272" Properties=species:S:1:pos:R:3 pbc="T T T"
Cs 0.0000 1.6403 0.0000
Cs 0.0000 7.0361 3.4636
Pm 2.2791 3.2683 3.0566
Pm 2.2791 5.4081 6.5202
S 0.0000 1.8337 3.5243
S 0.0000 6.8427 0.0607
O 2.2791 3.6568 0.8988
O 2.2791 5.0195 4.3624
```

(12)
A plane-wave DFT calculation with PBE was carried out for a relaxed NaInSnPt crystal.

**Polymorph energy (0 for the lowest one)**: 184 meV/atom
**Energy**: -3.618 eV per atom
**Calculated volume**: 21.3 A^3/atom
**M_tot**: 0.00 μB/f.u.
**SG**: F-43m

The structure in extended XYZ format:
```
4
Lattice="0.0000 3.4917 3.4917 3.4917 0.0000 3.4917 3.4917 3.4917 0.0000" Properties=species:S:1:pos:R:3 pbc="T T T"
Na 0.0000 0.0000 0.0000
In 3.4917 3.4917 3.4917
Sn 5.2375 5.2375 5.2375
Pt 1.7458 1.7458 1.7458
```

(13)
A plane-wave DFT calculation with PBE was carried out for a relaxed CdTcPO crystal.

**Polymorph energy (0 for the lowest one)**: 387 meV/atom
**Energy**: -5.546 eV per atom
**Calculated volume**: 18.3 A^3/atom
**M_tot**: 0.00 μB/f.u.
**SG**: P4/nmm

The structure in extended XYZ format:
```
8
Lattice="4.1498 0.0000 0.0000 0.0000 4.1498 0.0000 0.0000 0.0000 8.4796" Properties=species:S:1:pos:R:3 pbc="T T T"
Cd 1.0375 3.1124 0.0000
Cd 3.1124 1.0375 0.0000
Tc 1.0375 1.0375 3.8364
Tc 3.1124 3.1124 4.6432
P 1.0375 1.0375 1.6507
P 3.1124 3.1124 6.8289
O 1.0375 3.1124 4.2398
O 3.1124 1.0375 4.2398
```

(14)
A plane-wave DFT calculation with PBE was carried out for a relaxed RbZrAuSe3 crystal.

**Energy**: -4.765 eV per atom
**Calculated volume**: 27.4 A^3/atom
**M_tot**: 0.01 μB/f.u.
**SG**: Pnma

The structure in extended XYZ format:
```
24
Lattice="12.3046 0.0000 0.0000 0.0000 4.2262 0.0000 0.0000 0.0000 12.6556" Properties=species:S:1:pos:R:3 pbc="T T T"
Rb 2.2088 1.0565 0.4999
Rb 3.9435 3.1696 6.8277
Rb 8.3611 1.0565 5.8278
Rb 10.0958 3.1696 12.1556
Zr 0.4578 1.0565 4.3548
Zr 5.6945 3.1696 10.6826
Zr 6.6101 1.0565 1.9730
Zr 11.8468 3.1696 8.3008
Au 2.3887 3.1696 3.3106
Au 3.7636 1.0565 9.6384
Au 8.5410 3.1696 3.0172
Au 9.9159 1.0565 9.3450
Se 0.0264 3.1696 2.4479
Se 0.9568 1.0565 7.1263
Se 2.9497 3.1696 10.6994
Se 3.2026 1.0565 4.3716
Se 5.1954 3.1696 0.7985
Se 6.1259 1.0565 8.7757
Se 6.1787 3.1696 3.8799
Se 7.1091 1.0565 11.8570
Se 9.1020 3.1696 8.2840
Se 9.3549 1.0565 1.9562
Se 11.3477 3.1696 5.5293
Se 12.2782 1.0565 10.2077
```

(15)
A plane-wave DFT calculation with PBE was carried out for a relaxed Li2AlZn2Ag2Au crystal.

**Energy**: -2.626 eV per atom
**Calculated volume**: 15.7 A^3/atom
**SG**: P-4m2

The structure in extended XYZ format:
```
8
Lattice="4.4322 0.0000 0.0000 0.0000 4.4322 0.0000 0.0000 0.0000 6.3802" Properties=species:S:1:pos:R:3 pbc="T T T"
Li 0.0000 0.0000 0.0000
Li 2.2161 2.2161 3.1901
Al 0.0000 0.0000 3.1901
Zn 0.0000 2.2161 1.5767
Zn 2.2161 0.0000 4.8034
Ag 0.0000 2.2161 4.6484
Ag 2.2161 0.0000 1.7318
Au 2.2161 2.2161 0.0000
```

(16)
A plane-wave DFT calculation with PBE was carried out for a relaxed AcNdLu crystal.

**Polymorph energy (0 for the lowest one)**: 0 meV/atom
**Energy**: -3.831 eV per atom
**Calculated volume**: 42.4 A^3/atom
**M_tot**: 0.02 μB/f.u.
**SG**: F-43m
**Energy relative to the elements**: 634 meV per atom

The structure in extended XYZ format:
```
3
Lattice="0.0000 3.9925 3.9925 3.9925 0.0000 3.9925 3.9925 3.9925 0.0000" Properties=species:S:1:pos:R:3 pbc="T T T"
Ac 0.0000 0.0000 0.0000
Nd 3.9925 3.9925 3.9925
Lu 1.9963 1.9963 1.9963
```

(17)
A plane-wave DFT calculation with PBE was carried out for a relaxed AgBiSO crystal.

**Polymorph energy (0 for the lowest one)**: 0 meV/atom
**Energy**: -4.606 eV per atom
**Calculated volume**: 18.0 A^3/atom
**SG**: P4/nmm

The structure in extended XYZ format:
```
8
Lattice="3.9863 0.0000 0.0000 0.0000 3.9863 0.0000 0.0000 0.0000 9.0490" Properties=species:S:1:pos:R:3 pbc="T T T"
Ag 0.9966 2.9897 0.0000
Ag 2.9897 0.9966 0.0000
Bi 0.9966 0.9966 3.2746
Bi 2.9897 2.9897 5.7744
S 0.9966 0.9966 7.2507
S 2.9897 2.9897 1.7983
O 0.9966 2.9897 4.5245
O 2.9897 0.9966 4.5245
```

(18)
A plane-wave DFT calculation with PBE was carried out for a relaxed Ta5Re7 crystal.

**Polymorph energy (0 for the lowest one)**: 276 meV/atom
**Energy**: -11.758 eV per atom
**Calculated volume**: 16.8 A^3/atom
**M_tot**: 0.00 μB/f.u.
**SG**: P6_3/mmc
**Energy relative to the elements**: 427 meV per atom

The structure in extended XYZ format:
```
24
Lattice="5.2189 0.0000 0.0000 -2.6095 4.5197 0.0000 0.0000 0.0000 17.1019" Properties=species:S:1:pos:R:3 pbc="T T T"
Ta -1.3047 2.2599 0.0000
Ta -1.3047 2.2599 8.5509
Ta 0.0000 3.0131 2.2033
Ta 0.0000 3.0131 6.3476
Ta 2.6095 0.0000 0.0000
Ta 2.6095 0.0000 8.5509
Ta 1.3047 2.2599 0.0000
Ta 1.3047 2.2599 8.5509
Ta 2.6095 1.5066 10.7543
Ta 2.6095 1.5066 14.8986
Re 0.0000 0.0000 1.6360
Re 0.0000 0.0000 6.9149
Re 0.0000 0.0000 10.1870
Re 0.0000 0.0000 15.4658
Re 0.0000 1.4279 4.2755
Re -1.3729 3.8058 4.2755
Re 1.2366 0.7139 12.8264
Re 0.0000 3.0131 11.5017
Re 0.0000 3.0131 14.1511
Re 2.6095 1.5066 2.9508
Re 2.6095 1.5066 5.6002
Re 1.3729 3.8058 4.2755
Re 3.9823 0.7139 12.8264
Re 2.6095 3.0918 12.8264
```

(19)
A plane-wave DFT calculation with PBE was carried out for a relaxed K2Tb2O5 crystal.

**Polymorph energy (0 for the lowest one)**: 0 meV/atom
**Energy**: -6.232 eV per atom
**Calculated volume**: 18.6 A^3/atom
**M_tot**: 2.00 μB/f.u.
**SG**: P4/mmm

The structure in extended XYZ format:
```
9
Lattice="4.2945 0.0000 0.0000 0.0000 4.2945 0.0000 0.0000 0.0000 9.0939" Properties=species:S:1:pos:R:3 pbc="T T T"
K 0.0000 0.0000 0.0000
K 0.0000 0.0000 4.5469
Tb 2.1473 2.1473 2.1379
Tb 2.1473 2.1473 6.9560
O 0.0000 2.1473 2.7035
O 0.0000 2.1473 6.3904
O 2.1473 0.0000 2.7035
O 2.1473 0.0000 6.3904
O 2.1473 2.1473 0.0000
```

(20)
A plane-wave DFT calculation with PBE was carried out for a relaxed Zr3Co2Mo2 crystal.

**Energy**: -8.328 eV per atom
**Calculated volume**: 18.2 A^3/atom
**M_tot**: 1.49 μB/f.u.
**SG**: R3m
**Energy relative to the elements**: 465 meV per atom

The structure in extended XYZ format:
```
7
Lattice="2.2552 1.3021 7.2496 -2.2552 1.3021 7.2496 0.0000 -2.6041 7.2496" Properties=species:S:1:pos:R:3 pbc="T T T"
Zr 0.0000 0.0000 0.0000
Zr 0.0000 0.0000 5.3349
Zr 0.0000 0.0000 16.3960
Co 0.0000 0.0000 8.1349
Co 0.0000 0.0000 18.9454
Mo 0.0000 0.0000 2.7611
Mo 0.0000 0.0000 13.4568
```

(21)
A plane-wave DFT calculation with PBE was carried out for a relaxed KFeB crystal.

**Polymorph energy (0 for the lowest one)**: 186 meV/atom
**Energy**: -3.400 eV per atom
**Calculated volume**: 15.7 A^3/atom
**M_tot**: 1.56 μB/f.u.
**SG**: F-43m

The structure in extended XYZ format:
```
3
Lattice="0.0000 2.8660 2.8660 2.8660 0.0000 2.8660 2.8660 2.8660 0.0000" Properties=species:S:1:pos:R:3 pbc="T T T"
K 0.0000 0.0000 0.0000
Fe 4.2989 4.2989 4.2989
B 2.8660 2.8660 2.8660
```

(22)
A plane-wave DFT calculation with PBE was carried out for a relaxed TbHfNb crystal.

**Polymorph energy (0 for the lowest one)**: 0 meV/atom
**Energy**: -7.427 eV per atom
**Calculated volume**: 26.1 A^3/atom
**M_tot**: 0.01 μB/f.u.
**SG**: F-43m
**Energy relative to the elements**: 799 meV per atom

The structure in extended XYZ format:
```
3
Lattice="0.0000 3.3961 3.3961 3.3961 0.0000 3.3961 3.3961 3.3961 0.0000" Properties=species:S:1:pos:R:3 pbc="T T T"
Tb 0.0000 0.0000 0.0000
Hf 3.3961 3.3961 3.3961
Nb 5.0942 5.0942 5.0942
```